[1]
Compound: PtRhW2
Source: the Alexandria database
Functional: GGA-PBE
Structure: relaxed

## Properties
Crystal system: tetragonal
ΔH_f (0 K) in meV per atom: -181
Total energy in eV/atom: -10.01

Cell lengths 2.7486, 2.7486, 8.0957 Å; angles 90.00, 90.00, 90.00 degrees
Space group P4/mmm (No. 123)
Symmetry-distinct sites (fractional):
Pt: 0.0000 0.0000 0.0000
Rh: 0.0000 0.0000 0.5000
W: 0.5000 0.5000 0.2568

***

[2]
Compound: Pt4Rh5W
Source: the Alexandria database
Functional: GGA-PBE
Structure: relaxed

## Properties
Crystal system: triclinic
ΔH_f (0 K) in meV per atom: -25
Total energy in eV/atom: -7.41

Cell lengths 4.6495, 5.5058, 6.7370 Å; angles 89.92, 70.16, 73.03 degrees
Space group P1 (No. 1)
Symmetry-distinct sites (fractional):
Pt: 0.0000 0.0000 0.0000
Pt: 0.1052 0.2285 0.6125
Pt: 0.5532 0.6139 0.7836
Pt: 0.6787 0.8327 0.3783
Rh: 0.1069 0.7256 0.5958
Rh: 0.3389 0.1883 0.1897
Rh: 0.5684 0.1054 0.7740
Rh: 0.6809 0.3282 0.3907
Rh: 0.9671 0.5013 0.0090
W: 0.3276 0.6345 0.1983

***

[3]
Compound: PtRhW2
Source: the Alexandria database
Functional: GGA-PBE
Structure: relaxed

## Properties
Crystal system: monoclinic
ΔH_f (0 K) in meV per atom: -143
Total energy in eV/atom: -9.97

Cell lengths 9.1893, 2.7599, 4.9371 Å; angles 90.00, 99.67, 90.00 degrees
Space group Cm (No. 8)
Symmetry-distinct sites (fractional):
Pt: 0.0000 0.0000 0.0000
Rh: 0.2565 0.5000 0.2788
W: 0.0028 0.5000 0.4893
W: 0.2509 0.0000 0.7794

***

[4]
Compound: PtRh3W2
Source: the Alexandria database
Functional: GGA-PBE
Structure: relaxed

## Properties
Crystal system: orthorhombic
ΔH_f (0 K) in meV per atom: 1
Total energy in eV/atom: -9.00

Cell lengths 4.5386, 14.6732, 2.7849 Å; angles 90.00, 90.00, 90.00 degrees
Space group Cmmm (No. 65)
Symmetry-distinct sites (fractional):
Pt: 0.0000 0.0000 0.0000
Rh: 0.0000 0.1919 0.5000
Rh: 0.0000 0.5000 0.5000
W: 0.0000 0.3488 0.0000

***

[5]
Compound: PtRhW2
Source: the Alexandria database
Functional: GGA-PBE
Structure: relaxed

## Properties
Crystal system: tetragonal
ΔH_f (0 K) in meV per atom: 510
Total energy in eV/atom: -9.31

Cell lengths 7.0703, 7.0703, 5.3991 Å; angles 90.00, 90.00, 90.00 degrees
Space group I-42d (No. 122)
Symmetry-distinct sites (fractional):
Pt: 0.0000 0.0000 0.0000
Rh: 0.0000 0.0000 0.5000
W: 0.2353 0.2500 0.6250

***

[6]
Compound: Pt3RhW
Source: the Alexandria database
Functional: GGA-PBE
Structure: relaxed

## Properties
Crystal system: cubic
ΔH_f (0 K) in meV per atom: 1430
Total energy in eV/atom: -6.26

Cell lengths 4.7790, 4.7790, 4.7790 Å; angles 90.00, 90.00, 90.00 degrees
Space group Pm-3m (No. 221)
Symmetry-distinct sites (fractional):
Pt: 0.0000 0.0000 0.5000
Rh: 0.5000 0.5000 0.5000
W: 0.0000 0.0000 0.0000

***

[7]
Compound: PtRh6W5
Source: the Alexandria database
Functional: GGA-PBE
Structure: relaxed

## Properties
Crystal system: orthorhombic
ΔH_f (0 K) in meV per atom: -187
Total energy in eV/atom: -9.76

Cell lengths 3.9048, 7.8429, 11.7263 Å; angles 90.00, 90.00, 90.00 degrees
Space group Immm (No. 71)
Symmetry-distinct sites (fractional):
Pt: 0.0000 0.0000 0.0000
Rh: 0.0000 0.2447 0.5000
Rh: 0.0000 0.2505 0.1678
W: 0.0000 0.0000 0.3343
W: 0.0000 0.5000 0.0000
W: 0.0000 0.5000 0.3304

***

[8]
Compound: Pt2Rh3W
Source: the Alexandria database
Functional: GGA-PBE
Structure: relaxed

## Properties
Crystal system: triclinic
ΔH_f (0 K) in meV per atom: -153
Total energy in eV/atom: -8.00

Cell lengths 2.7628, 4.7953, 6.9349 Å; angles 102.67, 90.12, 90.02 degrees
Space group P-1 (No. 2)
Symmetry-distinct sites (fractional):
Pt: 0.0011 0.2741 0.3291
Rh: 0.4993 0.2311 0.6784
Rh: 0.5000 0.0000 0.0000
W: 0.0000 0.5000 0.0000

***

[9]
Compound: Pt2Rh6W3
Source: the Alexandria database
Functional: GGA-PBE
Structure: relaxed

## Properties
Crystal system: triclinic
ΔH_f (0 K) in meV per atom: -88
Total energy in eV/atom: -8.73

Cell lengths 4.8136, 6.4390, 6.5234 Å; angles 104.04, 108.43, 108.68 degrees
Space group P-1 (No. 2)
Symmetry-distinct sites (fractional):
Pt: 0.0243 0.3185 0.3609
Rh: 0.1016 0.1450 0.7233
Rh: 0.3637 0.9374 0.1203
Rh: 0.4944 0.4041 0.1752
W: 0.0000 0.5000 0.0000
W: 0.4653 0.7711 0.4677

***

[10]
Compound: Pt7Rh2W2
Source: the Alexandria database
Functional: GGA-PBE
Structure: relaxed

## Properties
Crystal system: monoclinic
ΔH_f (0 K) in meV per atom: -87
Total energy in eV/atom: -7.62

Cell lengths 7.2533, 7.6947, 6.4817 Å; angles 90.00, 102.14, 90.00 degrees
Space group C2/m (No. 12)
Symmetry-distinct sites (fractional):
Pt: 0.0000 0.0000 0.0000
Pt: 0.0927 0.5000 0.8318
Pt: 0.2151 0.2977 0.2028
Rh: 0.1607 0.0000 0.4310
W: 0.0000 0.2939 0.5000

***

[11]
Compound: PtRhW2
Source: the Alexandria database
Functional: GGA-PBE
Structure: relaxed

## Properties
Crystal system: tetragonal
ΔH_f (0 K) in meV per atom: -38
Total energy in eV/atom: -9.86

Cell lengths 3.2908, 3.2908, 5.7777 Å; angles 90.00, 90.00, 90.00 degrees
Space group P4mm (No. 99)
Symmetry-distinct sites (fractional):
Pt: 0.0000 0.0000 0.0000
Rh: 0.5000 0.5000 0.2665
W: 0.0000 0.0000 0.4881
W: 0.5000 0.5000 0.7603

***

[12]
Compound: Pt4RhW
Source: the Alexandria database
Functional: GGA-PBE
Structure: relaxed

## Properties
Crystal system: orthorhombic
ΔH_f (0 K) in meV per atom: -202
Total energy in eV/atom: -7.61

Cell lengths 2.7862, 3.9755, 8.3296 Å; angles 90.00, 90.00, 90.00 degrees
Space group Pmmm (No. 47)
Symmetry-distinct sites (fractional):
Pt: 0.0000 0.0000 0.1623
Pt: 0.5000 0.5000 0.3322
Rh: 0.0000 0.0000 0.5000
W: 0.5000 0.5000 0.0000

***

[13]
Compound: Pt5Rh5W2
Source: the Alexandria database
Functional: GGA-PBE
Structure: relaxed

## Properties
Crystal system: monoclinic
ΔH_f (0 K) in meV per atom: -242
Total energy in eV/atom: -7.98

Cell lengths 11.6708, 3.9052, 8.7752 Å; angles 90.00, 115.84, 90.00 degrees
Space group C2/m (No. 12)
Symmetry-distinct sites (fractional):
Pt: 0.0000 0.0000 0.0000
Pt: 0.0797 0.0000 0.7510
Pt: 0.1659 0.0000 0.5010
Rh: 0.0000 0.5000 0.5000
Rh: 0.1629 0.5000 0.9977
Rh: 0.2398 0.0000 0.2446
W: 0.0876 0.5000 0.2514

***

[14]
Compound: PtRhW3
Source: the Alexandria database
Functional: GGA-PBE
Structure: relaxed

## Properties
Crystal system: cubic
ΔH_f (0 K) in meV per atom: 1926
Total energy in eV/atom: -8.52

Cell lengths 4.6445, 4.6445, 4.6445 Å; angles 90.00, 90.00, 90.00 degrees
Space group Pm-3m (No. 221)
Symmetry-distinct sites (fractional):
Pt: 0.0000 0.0000 0.0000
Rh: 0.5000 0.5000 0.5000
W: 0.0000 0.5000 0.5000

***

[15]
Compound: Pt4RhW
Source: the Alexandria database
Functional: GGA-PBE
Structure: relaxed

## Properties
Crystal system: tetragonal
ΔH_f (0 K) in meV per atom: 124
Total energy in eV/atom: -7.29

Cell lengths 3.8450, 3.8450, 7.3296 Å; angles 90.00, 90.00, 90.00 degrees
Space group P4/mmm (No. 123)
Symmetry-distinct sites (fractional):
Pt: 0.0000 0.5000 0.2425
Rh: 0.0000 0.0000 0.5000
W: 0.5000 0.5000 0.0000

***

[16]
Compound: Pt3Rh4W
Source: the Alexandria database
Functional: GGA-PBE
Structure: relaxed

## Properties
Crystal system: orthorhombic
ΔH_f (0 K) in meV per atom: 113
Total energy in eV/atom: -7.45

Cell lengths 2.6946, 5.2094, 17.6031 Å; angles 90.00, 90.00, 90.00 degrees
Space group Immm (No. 71)
Symmetry-distinct sites (fractional):
Pt: 0.0000 0.0000 0.0000
Pt: 0.0000 0.0000 0.2591
Rh: 0.0000 0.2545 0.1237
W: 0.0000 0.0000 0.5000

***

[17]
Compound: YPtRh2
Source: the Alexandria database
Functional: GGA-PBE
Structure: relaxed

## Properties
Crystal system: monoclinic
ΔH_f (0 K) in meV per atom: -349
Total energy in eV/atom: -7.15

Cell lengths 5.6052, 9.4636, 2.9885 Å; angles 90.00, 119.00, 90.00 degrees
Space group C2/m (No. 12)
Symmetry-distinct sites (fractional):
Y: 0.0000 0.0000 0.0000
Pt: 0.0000 0.5000 0.0000
Rh: 0.2500 0.2500 0.5000

***

[18]
Compound: Y2Pt2Rh
Source: the Alexandria database
Functional: GGA-PBE
Structure: relaxed

## Properties
Crystal system: tetragonal
ΔH_f (0 K) in meV per atom: -936
Total energy in eV/atom: -7.41

Cell lengths 7.2685, 7.2685, 3.9229 Å; angles 90.00, 90.00, 90.00 degrees
Space group P4/mbm (No. 127)
Symmetry-distinct sites (fractional):
Y: 0.1761 0.3239 0.0000
Pt: 0.1315 0.6315 0.5000
Rh: 0.0000 0.0000 0.5000

***

[19]
Compound: Y5Pt2Rh
Source: the Alexandria database
Functional: GGA-PBE
Structure: relaxed

## Properties
Crystal system: orthorhombic
ΔH_f (0 K) in meV per atom: -891
Total energy in eV/atom: -7.36

Cell lengths 7.7739, 12.0513, 4.2530 Å; angles 90.00, 90.00, 90.00 degrees
Space group Pbam (No. 55)
Symmetry-distinct sites (fractional):
Y: 0.0000 0.0000 0.0000
Y: 0.1632 0.2977 0.0000
Y: 0.1759 0.5923 0.5000
Pt: 0.0402 0.8259 0.5000
Rh: 0.0000 0.5000 0.0000

***

[20]
Compound: YPtRh2
Source: the Alexandria database
Functional: GGA-PBE
Structure: relaxed

## Properties
Crystal system: tetragonal
ΔH_f (0 K) in meV per atom: -551
Total energy in eV/atom: -7.35

Cell lengths 4.0910, 4.0910, 8.1998 Å; angles 90.00, 90.00, 90.00 degrees
Space group I-4m2 (No. 119)
Symmetry-distinct sites (fractional):
Y: 0.0000 0.0000 0.0000
Pt: 0.0000 0.5000 0.2500
Rh: 0.0000 0.0000 0.5000
Rh: 0.0000 0.5000 0.7500